Here is HfMoO2F after structural relaxation from Alexandria. Energies are from PBEsol.

```
HfMoO2F
1.0
-4.0778 -0.3134 -0.0639
0.2184 -2.1835 -3.2264
0.2132 -3.2200 2.1935
Mo Hf O F
1 1 2 1
Direct
0.0000 0.0000 0.0000
0.5000 0.5000 0.5000
0.0000 0.0000 0.5000
0.0000 0.5000 0.0000
0.5000 0.0000 0.0000
```

Results
The calculation puts the density of states at the Fermi level at 4.4 states/eV/cell. Its total magnetization is 0.00 Bohr magnetons per cell. The calculation puts the formation energy without anion corrections at -1.064 eV per atom. Its space-group type is No. 123.

=====

Here is HfMoO2F after structural relaxation from Alexandria. Energies are from PBEsol.

```
HfMoO2F
1.0
-1.9924 -1.6716 3.1486
3.5603 -0.7509 1.8542
-0.1824 3.6969 1.8473
Mo Hf O F
1 1 2 1
Direct
0.5000 0.5000 0.5000
0.0000 0.0000 0.0000
0.0000 0.5000 0.0000
0.5000 0.0000 0.0000
0.0000 0.0000 0.5000
```

Results
The calculation puts the density of states at the Fermi level at 1.7 states/eV/cell. Its total magnetization is 5.00 Bohr magnetons per cell. The calculation puts the formation energy without anion corrections at -1.626 eV per atom. Its space-group type is No. 123.

=====

Here is Hf3NF after structural relaxation from Alexandria. Energies are from PBEsol.

```
Hf3NF
1.0
-0.7263 1.9748 3.7529
1.9994 -3.1984 2.0699
3.7399 2.0935 -0.3778
N Hf F
1 3 1
Direct
0.5000 0.5000 0.5000
0.0000 0.5000 0.0000
0.0000 0.0000 0.5000
0.5000 0.0000 0.0000
0.0000 0.0000 0.0000
```

Results
The calculation puts the density of states at the Fermi level at 3.9 states/eV/cell. Its total magnetization is 0.00 Bohr magnetons per cell. The calculation puts the formation energy without anion corrections at 0.491 eV per atom. Its space-group type is No. 221.

=====

Repeat the third record exactly.
Here is Hf3NF after structural relaxation from Alexandria. Energies are from PBEsol.

```
Hf3NF
1.0
-0.7263 1.9748 3.7529
1.9994 -3.1984 2.0699
3.7399 2.0935 -0.3778
N Hf F
1 3 1
Direct
0.5000 0.5000 0.5000
0.0000 0.5000 0.0000
0.0000 0.0000 0.5000
0.5000 0.0000 0.0000
0.0000 0.0000 0.0000
```

Results
The calculation puts the density of states at the Fermi level at 3.9 states/eV/cell. Its total magnetization is 0.00 Bohr magnetons per cell. The calculation puts the formation energy without anion corrections at 0.491 eV per atom. Its space-group type is No. 221.

=====

> formation energy without anion corrections of number 2 (HfMoO2F)?

-1.626 eV per atom